# 1
# Mg3TcSn

Mg3TcSn after structural relaxation (PBEsol, Alexandria).

## Properties
Its space group is Pm-3m. The density of states at the Fermi level comes out at 2.91 states/eV/cell. As for the density: 3.9 g/cm3. The energy above the most stable polymorph in this dataset comes out at 0 kJ/mol of formula units.

Unit cell a=4.972 b=4.972 c=4.972 alpha=90.00 beta=90.00 gamma=90.00
Atoms (fractional coordinates):
1 Mg 0.000 0.000 0.500
2 Mg 0.000 0.500 0.000
3 Mg 0.500 0.000 0.000
4 Tc 0.000 0.000 0.000
5 Sn 0.500 0.500 0.500

=====

# 2
# MgTlSn3

MgTlSn3 after structural relaxation (PBEsol, Alexandria).

## Properties
Its space group is Pm-3m. The density of states at the Fermi level comes out at 3.18 states/eV/cell. As for the density: 5.5 g/cm3. The value obtained for the raw total energy is -0.2003 Ry/atom.

Unit cell a=5.626 b=5.626 c=5.626 alpha=90.00 beta=90.00 gamma=90.00
Atoms (fractional coordinates):
1 Mg 0.000 0.000 0.000
2 Tl 0.500 0.500 0.500
3 Sn 0.000 0.500 0.500
4 Sn 0.500 0.000 0.500
5 Sn 0.500 0.500 0.000

=====

# 3
# MgTl2Sn2

MgTl2Sn2 after structural relaxation (PBEsol, Alexandria).

## Properties
Its space group is P4/mbm. The density of states at the Fermi level comes out at 4.84 states/eV/cell. As for the density: 8.0 g/cm3. The value obtained for the raw total energy is -0.2255 Ry/atom.

Unit cell a=7.696 b=7.696 c=4.718 alpha=90.00 beta=90.00 gamma=90.00
Atoms (fractional coordinates):
1 Mg 0.000 0.000 0.000
2 Mg 0.500 0.500 0.000
3 Tl 0.168 0.332 0.500
4 Tl 0.332 0.832 0.500
5 Tl 0.668 0.168 0.500
6 Tl 0.832 0.668 0.500
7 Sn 0.136 0.636 0.000
8 Sn 0.364 0.136 0.000
9 Sn 0.636 0.864 0.000
10 Sn 0.864 0.364 0.000

=====

# 4
# TmMgSn

TmMgSn after structural relaxation (PBEsol, Alexandria).

## Properties
Its space group is I4/mmm. The density of states at the Fermi level comes out at 2.04 states/eV/cell. As for the density: 7.2 g/cm3. The value obtained for the raw total energy is -0.3084 Ry/atom.

Unit cell a=8.380 b=8.380 c=8.380 alpha=150.26 beta=150.26 gamma=42.57
Atoms (fractional coordinates):
1 Tm 0.168 0.168 0.000
2 Tm 0.832 0.832 0.000
3 Mg 0.000 0.500 0.500
4 Mg 0.500 0.000 0.500
5 Sn 0.362 0.362 0.000
6 Sn 0.638 0.638 0.000

=====

# 5
# MgSnW2

MgSnW2 after structural relaxation (PBEsol, Alexandria).

## Properties
Its space group is Fm-3m. The density of states at the Fermi level comes out at 4.85 states/eV/cell. As for the density: 12.4 g/cm3. The value obtained for the raw total energy is -0.5521 Ry/atom.

Unit cell a=4.587 b=4.587 c=4.587 alpha=60.00 beta=60.00 gamma=60.00
Atoms (fractional coordinates):
1 Mg 0.000 0.000 0.000
2 Sn 0.500 0.500 0.500
3 W 0.250 0.250 0.250
4 W 0.750 0.750 0.750

=====

# 6
# YMg2Sn2

YMg2Sn2 after structural relaxation (PBEsol, Alexandria).

## Properties
Its space group is I4/mmm. The density of states at the Fermi level comes out at 2.01 states/eV/cell. As for the density: 5.0 g/cm3. The value obtained for the raw total energy is -0.3017 Ry/atom.

Unit cell a=7.192 b=7.192 c=7.192 alpha=144.69 beta=144.69 gamma=50.80
Atoms (fractional coordinates):
1 Y 0.000 0.000 0.000
2 Mg 0.250 0.750 0.500
3 Mg 0.750 0.250 0.500
4 Sn 0.393 0.393 0.000
5 Sn 0.607 0.607 0.000

=====

# 7
# Mg2ZnSn2

Mg2ZnSn2 after structural relaxation (PBEsol, Alexandria).

## Properties
Its space group is I4/mmm. The density of states at the Fermi level comes out at 1.95 states/eV/cell. As for the density: 4.6 g/cm3. The value obtained for the raw total energy is -0.1849 Ry/atom.

Unit cell a=6.940 b=6.940 c=6.940 alpha=141.60 beta=141.60 gamma=55.43
Atoms (fractional coordinates):
1 Mg 0.250 0.750 0.500
2 Mg 0.750 0.250 0.500
3 Zn 0.000 0.000 0.000
4 Sn 0.390 0.390 0.000
5 Sn 0.610 0.610 0.000

=====

# 8
# Sr3Mg

Sr3Mg after structural relaxation (PBEsol, Alexandria).

## Properties
Its space group is Pnma. The density of states at the Fermi level comes out at 17.53 states/eV/cell. As for the density: 2.6 g/cm3. The value obtained for the raw total energy is -0.1316 Ry/atom.

Unit cell a=9.360 b=10.829 c=7.268 alpha=90.00 beta=90.00 gamma=90.00
Atoms (fractional coordinates):
1 Sr 0.029 0.250 0.111
2 Sr 0.181 0.055 0.633
3 Sr 0.181 0.445 0.633
4 Sr 0.319 0.555 0.133
5 Sr 0.319 0.945 0.133
6 Sr 0.471 0.750 0.611
7 Sr 0.529 0.250 0.389
8 Sr 0.681 0.055 0.867
9 Sr 0.681 0.445 0.867
10 Sr 0.819 0.555 0.367
11 Sr 0.819 0.945 0.367
12 Sr 0.971 0.750 0.889
13 Mg 0.116 0.750 0.425
14 Mg 0.384 0.250 0.925
15 Mg 0.616 0.750 0.075
16 Mg 0.884 0.250 0.575

=====

# 9
# SrMg5

SrMg5 after structural relaxation (PBEsol, Alexandria).

## Properties
Its space group is Cmmm. The density of states at the Fermi level comes out at 2.66 states/eV/cell. As for the density: 2.2 g/cm3. The energy above the most stable polymorph in this dataset comes out at 33 kJ/mol of formula units.

Unit cell a=6.269 b=6.269 c=5.237 alpha=90.00 beta=90.00 gamma=130.10
Atoms (fractional coordinates):
1 Sr 0.000 0.000 0.000
2 Mg 0.184 0.816 0.500
3 Mg 0.323 0.677 0.000
4 Mg 0.500 0.500 0.500
5 Mg 0.677 0.323 0.000
6 Mg 0.816 0.184 0.500

=====

# 10
# SrMg

SrMg after structural relaxation (PBEsol, Alexandria).

## Properties
Its space group is Pbcm. The density of states at the Fermi level comes out at 26.42 states/eV/cell. As for the density: 2.5 g/cm3. The value obtained for the raw total energy is -0.1304 Ry/atom.

Unit cell a=12.001 b=10.489 c=7.047 alpha=90.00 beta=90.00 gamma=90.00
Atoms (fractional coordinates):
1 Sr 0.122 0.250 0.000
2 Sr 0.122 0.250 0.500
3 Sr 0.186 0.630 0.250
4 Sr 0.186 0.870 0.750
5 Sr 0.370 0.033 0.250
6 Sr 0.370 0.467 0.750
7 Sr 0.630 0.533 0.250
8 Sr 0.630 0.967 0.750
9 Sr 0.814 0.130 0.250
10 Sr 0.814 0.370 0.750
11 Sr 0.878 0.750 0.000
12 Sr 0.878 0.750 0.500
13 Mg 0.073 0.546 0.750
14 Mg 0.073 0.954 0.250
15 Mg 0.371 0.130 0.750
16 Mg 0.371 0.370 0.250
17 Mg 0.439 0.750 0.000
18 Mg 0.439 0.750 0.500
19 Mg 0.561 0.250 0.000
20 Mg 0.561 0.250 0.500
21 Mg 0.629 0.630 0.750
22 Mg 0.629 0.870 0.250
23 Mg 0.927 0.046 0.750
24 Mg 0.927 0.454 0.250

=====

# 11
# SrMg5

SrMg5 after structural relaxation (PBEsol, Alexandria).

## Properties
Its space group is F-43m. The density of states at the Fermi level comes out at 2.99 states/eV/cell. As for the density: 2.2 g/cm3. The energy above the most stable polymorph in this dataset comes out at 16 kJ/mol of formula units.

Unit cell a=6.102 b=6.102 c=6.102 alpha=60.00 beta=60.00 gamma=60.00
Atoms (fractional coordinates):
1 Sr 0.000 0.000 0.000
2 Mg 0.126 0.625 0.625
3 Mg 0.250 0.250 0.250
4 Mg 0.625 0.126 0.625
5 Mg 0.625 0.625 0.126
6 Mg 0.625 0.625 0.625

=====

# 12
# Sr3Mg

Sr3Mg after structural relaxation (PBEsol, Alexandria).

## Properties
Its space group is I4/mmm. The density of states at the Fermi level comes out at 10.93 states/eV/cell. As for the density: 2.8 g/cm3. The value obtained for the raw total energy is -0.1301 Ry/atom.

Unit cell a=11.657 b=11.657 c=11.657 alpha=152.19 beta=152.19 gamma=39.74
Atoms (fractional coordinates):
1 Sr 0.000 0.500 0.500
2 Sr 0.124 0.124 0.000
3 Sr 0.250 0.750 0.500
4 Sr 0.500 0.000 0.500
5 Sr 0.750 0.250 0.500
6 Sr 0.876 0.876 0.000
7 Mg 0.372 0.372 0.000
8 Mg 0.628 0.628 0.000